Entry 1:
DFT (GGA-PBE) results for crystalline MgScInBr6 at its relaxed geometry.

POSCAR file:
```
MgScInBr6
1.0
6.973 0.000 0.000
-3.487 6.039 0.000
0.000 0.000 7.258
Mg Sc In Br
1 1 1 6
direct
0.000 0.000 0.000 Mg
0.333 0.667 0.000 Sc
0.667 0.333 0.500 In
0.040 0.336 0.212 Br
0.040 0.704 0.788 Br
0.296 0.336 0.788 Br
0.296 0.960 0.212 Br
0.664 0.704 0.212 Br
0.664 0.960 0.788 Br
```

Summary:
- Space-group type: P312 (149)
- E_form (uncorrected): -1397 meV/atom
- Density: 3.605 g/cm³
- Spin magnetization: 0.00 Bohr magnetons per cell

Entry 2:
DFT (GGA-PBE) results for crystalline MgInSe2Br at its relaxed geometry.

POSCAR file:
```
MgInSe2Br
1.0
5.156 0.000 0.000
0.000 5.156 0.000
0.000 0.000 5.410
Mg In Se Br
1 1 2 1
direct
0.000 0.000 0.000 Mg
0.500 0.500 0.500 In
0.000 0.500 0.000 Se
0.500 0.000 0.000 Se
0.000 0.000 0.500 Br
```

Summary:
- Space-group type: P4/mmm (123)
- E_form (uncorrected): -343 meV/atom
- Polymorph energy (0 for the lowest one): 0.000 eV per formula unit
- Density: 4.353 g/cm³
- Spin magnetization: 1.26 Bohr magnetons per cell

Entry 3:
DFT (GGA-PBE) results for crystalline Mg2InSeBr at its relaxed geometry.

POSCAR file:
```
Mg2InSeBr
1.0
5.238 0.000 0.000
0.000 5.238 0.000
0.000 0.000 5.602
Mg In Se Br
2 1 1 1
direct
0.000 0.500 0.000 Mg
0.500 0.000 0.000 Mg
0.000 0.000 0.500 In
0.500 0.500 0.500 Se
0.500 0.500 0.000 Br
```

Summary:
- Space-group type: P4/mmm (123)
- E_form (uncorrected): 206 meV/atom
- Density: 3.482 g/cm³
- Spin magnetization: 0.00 Bohr magnetons per cell

Entry 4:
DFT (GGA-PBE) results for crystalline MgIn2SnBr6 at its relaxed geometry.

POSCAR file:
```
MgIn2SnBr6
1.0
7.815 0.000 0.000
-3.907 6.776 0.000
-3.907 -2.257 6.496
Mg In Sn Br
1 2 1 6
direct
0.000 0.000 0.000 Mg
0.425 0.712 0.139 In
0.434 0.217 0.652 In
0.996 0.498 0.494 Sn
0.093 0.249 0.780 Br
0.101 0.322 0.259 Br
0.479 0.157 0.258 Br
0.530 0.843 0.780 Br
0.936 0.686 0.780 Br
0.936 0.779 0.259 Br
```

Summary:
- Space-group type: P1 (1)
- E_form (uncorrected): -900 meV/atom
- Density: 4.113 g/cm³
- Spin magnetization: 0.00 Bohr magnetons per cell

Entry 5:
DFT (GGA-PBE) results for crystalline SrMgIn2Br6 at its relaxed geometry.

POSCAR file:
```
SrMgIn2Br6
1.0
3.949 2.280 6.504
-3.949 2.280 6.504
0.000 -4.560 6.504
Sr Mg In Br
1 1 2 6
direct
0.000 0.000 0.000 Sr
0.499 0.499 0.499 Mg
0.287 0.287 0.287 In
0.783 0.783 0.783 In
0.177 0.714 0.350 Br
0.254 0.647 0.817 Br
0.350 0.177 0.714 Br
0.647 0.817 0.254 Br
0.714 0.350 0.177 Br
0.817 0.254 0.647 Br
```

Summary:
- Space-group type: R3 (146)
- E_form (uncorrected): -1306 meV/atom
- Density: 3.879 g/cm³
- Spin magnetization: 0.00 Bohr magnetons per cell

Entry 6:
DFT (GGA-PBE) results for crystalline TbMgInBr6 at its relaxed geometry.

POSCAR file:
```
TbMgInBr6
1.0
7.178 0.000 0.000
-3.589 6.216 0.000
0.000 0.000 14.511
Tb Mg In Br
2 2 2 12
direct
0.333 0.667 0.250 Tb
0.667 0.333 0.750 Tb
0.333 0.667 0.750 Mg
0.667 0.333 0.250 Mg
0.000 0.000 0.000 In
0.000 0.000 0.500 In
0.012 0.376 0.641 Br
0.012 0.636 0.859 Br
0.364 0.376 0.859 Br
0.364 0.988 0.641 Br
0.376 0.012 0.141 Br
0.376 0.364 0.359 Br
0.624 0.636 0.641 Br
0.624 0.988 0.859 Br
0.636 0.012 0.359 Br
0.636 0.624 0.141 Br
0.988 0.364 0.141 Br
0.988 0.624 0.359 Br
```

Summary:
- Space-group type: P-31c (163)
- E_form (uncorrected): -1474 meV/atom
- Density: 3.988 g/cm³
- Spin magnetization: 0.00 Bohr magnetons per cell

Entry 7:
DFT (GGA-PBE) results for crystalline Mg2TlInBr6 at its relaxed geometry.

POSCAR file:
```
Mg2TlInBr6
1.0
7.495 -6.739 0.000
7.495 6.739 0.000
-1.879 0.000 7.594
Mg Tl In Br
4 2 2 12
direct
0.121 0.298 0.246 Mg
0.298 0.121 0.746 Mg
0.702 0.879 0.254 Mg
0.879 0.702 0.754 Mg
0.199 0.801 0.250 Tl
0.801 0.199 0.750 Tl
0.401 0.599 0.750 In
0.599 0.401 0.250 In
0.099 0.184 0.511 Br
0.109 0.608 0.867 Br
0.184 0.099 0.011 Br
0.282 0.479 0.335 Br
0.392 0.891 0.633 Br
0.479 0.282 0.835 Br
0.521 0.718 0.165 Br
0.608 0.109 0.367 Br
0.718 0.521 0.665 Br
0.816 0.901 0.989 Br
0.891 0.392 0.133 Br
0.901 0.816 0.489 Br
```

Summary:
- Space-group type: C2/c (15)
- E_form (uncorrected): -1153 meV/atom
- Density: 3.667 g/cm³
- Spin magnetization: 0.00 Bohr magnetons per cell

Entry 8:
DFT (GGA-PBE) results for crystalline MgTl3In3Br8 at its relaxed geometry.

POSCAR file:
```
MgTl3In3Br8
1.0
4.677 2.700 7.661
-4.677 2.700 7.661
0.000 -5.400 7.661
Mg Tl In Br
1 3 3 8
direct
0.000 0.000 0.000 Mg
0.000 0.000 0.500 Tl
0.000 0.500 0.000 Tl
0.500 0.000 0.000 Tl
0.000 0.500 0.500 In
0.500 0.000 0.500 In
0.500 0.500 0.000 In
0.208 0.208 0.791 Br
0.208 0.791 0.208 Br
0.209 0.792 0.792 Br
0.251 0.251 0.251 Br
0.749 0.749 0.749 Br
0.791 0.208 0.208 Br
0.792 0.209 0.792 Br
0.792 0.792 0.209 Br
```

Summary:
- Space-group type: R-3m (166)
- E_form (uncorrected): -892 meV/atom
- Density: 4.637 g/cm³
- Spin magnetization: 0.00 Bohr magnetons per cell

Entry 9:
DFT (GGA-PBE) results for crystalline MgTlInBr2 at its relaxed geometry.

POSCAR file:
```
MgTlInBr2
1.0
6.167 0.000 0.000
0.000 6.167 0.000
0.000 0.000 5.461
Mg Tl In Br
1 1 1 2
direct
0.000 0.000 0.000 Mg
0.000 0.000 0.500 Tl
0.500 0.500 0.000 In
0.000 0.500 0.500 Br
0.500 0.000 0.500 Br
```

Summary:
- Space-group type: P4/mmm (123)
- E_form (uncorrected): -194 meV/atom
- Density: 4.023 g/cm³
- Spin magnetization: 0.00 Bohr magnetons per cell

Entry 10:
DFT (GGA-PBE) results for crystalline MgTlIn2Br5 at its relaxed geometry.

POSCAR file:
```
MgTlIn2Br5
1.0
2.061 -9.346 0.000
2.061 9.346 0.000
0.000 0.000 17.391
Mg Tl In Br
2 2 4 10
direct
0.248 0.752 0.500 Mg
0.752 0.248 0.000 Mg
0.060 0.940 0.905 Tl
0.940 0.060 0.405 Tl
0.351 0.649 0.723 In
0.436 0.564 0.110 In
0.564 0.436 0.610 In
0.649 0.351 0.223 In
0.028 0.972 0.234 Br
0.106 0.894 0.479 Br
0.235 0.765 0.898 Br
0.265 0.735 0.107 Br
0.391 0.609 0.534 Br
0.609 0.391 0.034 Br
0.735 0.265 0.607 Br
0.765 0.235 0.398 Br
0.894 0.106 0.979 Br
0.972 0.028 0.734 Br
```

Summary:
- Space-group type: Cmc2_1 (36)
- E_form (uncorrected): -933 meV/atom
- Density: 4.252 g/cm³
- Spin magnetization: 0.00 Bohr magnetons per cell

Entry 11:
DFT (GGA-PBE) results for crystalline TmMgInBr6 at its relaxed geometry.

POSCAR file:
```
TmMgInBr6
1.0
7.109 0.000 0.000
-3.555 6.157 0.000
0.000 0.000 14.575
Tm Mg In Br
2 2 2 12
direct
0.333 0.667 0.250 Tm
0.667 0.333 0.750 Tm
0.333 0.667 0.750 Mg
0.667 0.333 0.250 Mg
0.000 0.000 0.000 In
0.000 0.000 0.500 In
0.007 0.374 0.642 Br
0.007 0.633 0.858 Br
0.367 0.374 0.858 Br
0.367 0.993 0.642 Br
0.374 0.007 0.142 Br
0.374 0.367 0.358 Br
0.626 0.633 0.642 Br
0.626 0.993 0.858 Br
0.633 0.007 0.358 Br
0.633 0.626 0.142 Br
0.993 0.367 0.142 Br
0.993 0.626 0.358 Br
```

Summary:
- Space-group type: P-31c (163)
- E_form (uncorrected): -1469 meV/atom
- Density: 4.100 g/cm³
- Spin magnetization: 0.00 Bohr magnetons per cell

Entry 12:
DFT (GGA-PBE) results for crystalline MgUInBr6 at its relaxed geometry.

POSCAR file:
```
MgUInBr6
1.0
7.321 0.000 0.000
-3.661 6.340 0.000
0.000 0.000 14.309
Mg U In Br
2 2 2 12
direct
0.333 0.667 0.250 Mg
0.667 0.333 0.750 Mg
0.333 0.667 0.750 U
0.667 0.333 0.250 U
0.000 0.000 0.000 In
0.000 0.000 0.500 In
0.021 0.379 0.139 Br
0.021 0.642 0.361 Br
0.358 0.379 0.361 Br
0.358 0.979 0.139 Br
0.379 0.021 0.639 Br
0.379 0.358 0.861 Br
0.621 0.642 0.139 Br
0.621 0.979 0.361 Br
0.642 0.021 0.861 Br
0.642 0.621 0.639 Br
0.979 0.358 0.639 Br
0.979 0.621 0.861 Br
```

Summary:
- Space-group type: P-31c (163)
- E_form (uncorrected): -1194 meV/atom
- Density: 4.283 g/cm³
- Spin magnetization: 6.00 Bohr magnetons per cell

Entry 13:
DFT (GGA-PBE) results for crystalline Mn5In3Br12 at its relaxed geometry.

POSCAR file:
```
Mn5In3Br12
1.0
-8.598 8.598 8.598
8.598 -8.598 8.598
8.598 8.598 -8.598
Mn In Br
20 12 48
direct
0.000 0.000 0.000 Mn
0.000 0.000 0.500 Mn
0.000 0.500 0.000 Mn
0.000 0.500 0.500 Mn
0.125 0.750 0.875 Mn
0.125 0.875 0.250 Mn
0.250 0.125 0.875 Mn
0.250 0.625 0.375 Mn
0.375 0.250 0.625 Mn
0.375 0.625 0.750 Mn
0.500 0.000 0.000 Mn
0.500 0.000 0.500 Mn
0.500 0.500 0.000 Mn
0.500 0.500 0.500 Mn
0.625 0.375 0.250 Mn
0.625 0.750 0.375 Mn
0.750 0.375 0.625 Mn
0.750 0.875 0.125 Mn
0.875 0.125 0.750 Mn
0.875 0.250 0.125 Mn
0.125 0.250 0.375 In
0.125 0.375 0.750 In
0.250 0.375 0.125 In
0.250 0.875 0.625 In
0.375 0.125 0.250 In
0.375 0.750 0.125 In
0.625 0.250 0.875 In
0.625 0.875 0.750 In
0.750 0.125 0.375 In
0.750 0.625 0.875 In
0.875 0.625 0.250 In
0.875 0.750 0.625 In
0.018 0.198 0.112 Br
0.018 0.320 0.906 Br
0.086 0.698 0.680 Br
0.086 0.888 0.406 Br
0.094 0.612 0.414 Br
0.094 0.982 0.680 Br
0.112 0.018 0.198 Br
0.112 0.594 0.914 Br
0.180 0.198 0.586 Br
0.180 0.482 0.594 Br
0.198 0.112 0.018 Br
0.198 0.586 0.180 Br
0.302 0.320 0.914 Br
0.302 0.482 0.388 Br
0.320 0.906 0.018 Br
0.320 0.914 0.302 Br
0.388 0.302 0.482 Br
0.388 0.586 0.906 Br
0.406 0.086 0.888 Br
0.406 0.820 0.518 Br
0.414 0.094 0.612 Br
0.414 0.820 0.802 Br
0.482 0.388 0.302 Br
0.482 0.594 0.180 Br
0.518 0.406 0.820 Br
0.518 0.612 0.698 Br
0.586 0.180 0.198 Br
0.586 0.906 0.388 Br
0.594 0.180 0.482 Br
0.594 0.914 0.112 Br
0.612 0.414 0.094 Br
0.612 0.698 0.518 Br
0.680 0.086 0.698 Br
0.680 0.094 0.982 Br
0.698 0.518 0.612 Br
0.698 0.680 0.086 Br
0.802 0.414 0.820 Br
0.802 0.888 0.982 Br
0.820 0.518 0.406 Br
0.820 0.802 0.414 Br
0.888 0.406 0.086 Br
0.888 0.982 0.802 Br
0.906 0.018 0.320 Br
0.906 0.388 0.586 Br
0.914 0.112 0.594 Br
0.914 0.302 0.320 Br
0.982 0.680 0.094 Br
0.982 0.802 0.888 Br
```

Summary:
- Space-group type: Ia-3d (230)
- E_form (uncorrected): -645 meV/atom
- Density: 4.122 g/cm³
- Spin magnetization: 96.00 Bohr magnetons per cell

Entry 14:
DFT (GGA-PBE) results for crystalline Mn2InBr at its relaxed geometry.

POSCAR file:
```
Mn2InBr
1.0
3.195 0.000 0.000
0.000 4.607 0.000
0.000 0.000 5.609
Mn In Br
2 1 1
direct
0.000 0.000 0.000 Mn
0.500 0.000 0.500 Mn
0.000 0.500 0.500 In
0.500 0.500 0.000 Br
```

Summary:
- Space-group type: Pmmm (47)
- E_form (uncorrected): 432 meV/atom
- Polymorph energy (0 for the lowest one): 1.045 eV per formula unit
- Density: 6.127 g/cm³
- Spin magnetization: 7.65 Bohr magnetons per cell

Entry 15:
DFT (GGA-PBE) results for crystalline Mn3InBr9 at its relaxed geometry.

POSCAR file:
```
Mn3InBr9
1.0
9.289 -4.793 0.000
9.289 4.793 0.000
-8.292 0.000 10.479
Mn In Br
6 2 18
direct
0.055 0.945 0.500 Mn
0.277 0.516 0.600 Mn
0.516 0.277 0.100 Mn
0.566 0.706 0.452 Mn
0.706 0.566 0.952 Mn
0.945 0.055 0.000 Mn
0.042 0.491 0.780 In
0.491 0.042 0.280 In
0.019 0.729 0.502 Br
0.048 0.784 0.832 Br
0.075 0.173 0.714 Br
0.168 0.348 0.591 Br
0.173 0.075 0.214 Br
0.258 0.785 0.383 Br
0.348 0.168 0.091 Br
0.358 0.438 0.953 Br
0.438 0.358 0.453 Br
0.440 0.688 0.791 Br
0.582 0.956 0.480 Br
0.612 0.713 0.142 Br
0.688 0.440 0.291 Br
0.713 0.612 0.642 Br
0.729 0.019 0.002 Br
0.784 0.048 0.332 Br
0.785 0.258 0.883 Br
0.956 0.582 0.980 Br
```

Summary:
- Space-group type: Cc (9)
- E_form (uncorrected): -720 meV/atom
- Density: 3.555 g/cm³
- Spin magnetization: 30.00 Bohr magnetons per cell

Entry 16:
DFT (GGA-PBE) results for crystalline Mn2InBr at its relaxed geometry.

POSCAR file:
```
Mn2InBr
1.0
3.311 0.000 0.000
0.000 3.311 0.000
0.000 0.000 8.074
Mn In Br
2 1 1
direct
0.000 0.000 0.000 Mn
0.500 0.500 0.187 Mn
0.500 0.500 0.810 In
0.000 0.000 0.363 Br
```

Summary:
- Space-group type: P4mm (99)
- E_form (uncorrected): 171 meV/atom
- Polymorph energy (0 for the lowest one): 0.000 eV per formula unit
- Density: 5.713 g/cm³
- Spin magnetization: 7.48 Bohr magnetons per cell

Entry 17:
DFT (GGA-PBE) results for crystalline Mn2InBr at its relaxed geometry.

POSCAR file:
```
Mn2InBr
1.0
3.900 0.000 0.000
0.000 3.235 0.000
-0.010 0.000 6.865
Mn In Br
2 1 1
direct
0.001 0.000 0.190 Mn
0.999 0.000 0.810 Mn
0.500 0.500 0.000 In
0.000 0.500 0.500 Br
```

Summary:
- Space-group type: P2/m (10)
- E_form (uncorrected): 201 meV/atom
- Polymorph energy (0 for the lowest one): 0.118 eV per formula unit
- Density: 5.840 g/cm³
- Spin magnetization: 7.09 Bohr magnetons per cell